Here is an optimized crystal structure of CdSn2ClO from the Alexandria database. Energies are from PBE.

Computed properties:
Uncorrected formation energy = -242 meV per atom
Total magnetic moment = 0.0 Bohr magnetons per cell

Cell: 4.5712 4.5712 6.0802 Å, 90.00 90.00 90.00°
With the nearest neighbours (Å) after each atom.
Space group P4/mmm (No. 123)
Inequivalent atoms, fractional coordinates:
Cd  0.0000  0.0000  0.0000  4 Cl 3.23
Sn  0.0000  0.5000  0.5000  2 O 2.29
Cl  0.5000  0.5000  0.0000  2 O 3.04, 4 Cd 3.23
O  0.5000  0.5000  0.5000  4 Sn 2.29